First-principles (PBE) data for an optimized crystal structure of BeTlW2, as listed in the Alexandria database.

Calculated values
SG: R-3m (166)
Formation energy (meV/atom): 887
E above lowest polymorph (meV per atom): 366
N(E_F) (states/eV/atom): 0.66
Total moment (Bohr magnetons per cell): 0.0

a b c (Å): 9.1078 9.1078 9.1078
angles (deg): 18.36 18.36 18.36
Last column: nearest neighbours and their distance in Å.
Fractional coordinates of all 4 atoms:
1 Be 0.0000 0.0000 0.0000  6 W 2.59
2 Tl 0.5000 0.5000 0.5000  6 Tl 2.91, 6 W 3.01
3 W 0.2599 0.2599 0.2599  3 Be 2.59
4 W 0.7401 0.7401 0.7401  3 Be 2.59